(1)
First-principles (GGA-PBE) data for crystalline GaGeMo2 at its relaxed geometry, as listed in Alexandria via LeMat-Bulk.

## Properties
- Distance to the lowest polymorph of the same formula: 88 meV/atom
- E_form: 0.079 eV/atom

Cell: 2.933 2.933 8.619 Å, 80.20 80.20 60.00°
Positions (direct):
Mo 0.251 0.251 0.246
Mo 0.082 0.082 0.754
Ga 0.500 0.500 0.500
Ge 0.667 0.667 0.000



(2)
First-principles (GGA-PBE) data for crystalline K6TiS4 at its relaxed geometry, as listed in Alexandria via LeMat-Bulk.

## Properties
- Raw formation energy: -1.079 eV per atom

Cell: 7.695 10.206 10.206 Å, 120.00 90.00 90.00°
Site moments in Bohr magnetons follow the coordinates.
Positions (direct):
S 0.844 0.587 0.793  -0.02
S 0.432 0.333 0.667  -0.01
S 0.344 0.413 0.207  -0.02
S 0.344 0.793 0.207  -0.02
S 0.844 0.207 0.793  -0.02
S 0.344 0.793 0.587  -0.02
S 0.844 0.207 0.413  -0.02
S 0.932 0.667 0.333  -0.01
K 0.638 0.532 0.064  0.00
K 0.638 0.936 0.468  0.00
K 0.458 0.134 0.267  0.00
K 0.958 0.866 0.134  0.00
K 0.958 0.866 0.733  0.00
K 0.458 0.733 0.866  0.00
K 0.958 0.267 0.134  0.00
K 0.138 0.468 0.936  0.00
K 0.138 0.468 0.532  0.00
K 0.458 0.134 0.866  0.00
K 0.138 0.064 0.532  0.00
K 0.638 0.532 0.468  0.00
Ti 0.742 0.333 0.667  0.80
Ti 0.242 0.667 0.333  0.80



(3)
First-principles (GGA-PBE) data for crystalline CeZn at its relaxed geometry, as listed in Alexandria via LeMat-Bulk.

## Properties
- E_form: -0.176 eV/atom

Cell: 3.612 3.612 3.612 Å, 90.00 90.00 90.00°
Site moments in Bohr magnetons follow the coordinates.
Positions (direct):
Zn 0.500 0.500 0.500  0.00
Ce 0.000 0.000 0.000  0.39



(4)
First-principles (GGA-PBE) data for crystalline Y2ZrGa2 at its relaxed geometry, as listed in Alexandria via LeMat-Bulk.

## Properties
- E_form: -0.486 eV/atom

Cell: 7.421 7.421 4.313 Å, 90.00 90.00 90.00°
Positions (direct):
Ga 0.625 0.125 0.000
Ga 0.875 0.625 0.000
Ga 0.375 0.875 0.000
Ga 0.125 0.375 0.000
Y 0.676 0.824 0.500
Y 0.324 0.176 0.500
Y 0.176 0.676 0.500
Y 0.824 0.324 0.500
Zr 0.000 0.000 0.000
Zr 0.500 0.500 0.000



(5)
First-principles (GGA-PBE) data for crystalline BaLaIn2Cl8 at its relaxed geometry, as listed in Alexandria via LeMat-Bulk.

## Properties
- Raw formation energy: -1.722 eV per atom

Cell: 6.830 6.758 9.278 Å, 89.99 90.00 91.25°
Positions (direct):
Cl 0.832 0.210 0.771
Cl 0.314 0.274 0.000
Cl 0.343 0.303 0.500
Cl 0.832 0.210 0.229
Cl 0.686 0.726 0.000
Cl 0.168 0.790 0.771
Cl 0.168 0.790 0.229
Cl 0.657 0.697 0.500
In 0.500 0.500 0.250
In 0.500 0.500 0.750
La 0.000 0.000 0.000
Ba 0.000 0.000 0.500



(6)
First-principles (GGA-PBE) data for crystalline RbAg5Br7 at its relaxed geometry, as listed in Alexandria via LeMat-Bulk.

## Properties
- Raw formation energy: -0.436 eV per atom
- Distance to the lowest polymorph of the same formula: 83 meV/atom

Cell: 6.132 9.530 9.530 Å, 59.66 71.23 71.23°
Positions (direct):
Br 0.606 0.066 0.722
Br 0.606 0.722 0.066
Br 0.314 0.186 0.186
Br 0.891 0.826 0.391
Br 0.252 0.748 0.748
Br 0.891 0.391 0.826
Br 0.658 0.342 0.342
Ag 0.000 0.473 0.033
Ag 0.493 0.473 0.033
Ag 0.770 0.730 0.730
Ag 0.000 0.033 0.473
Ag 0.493 0.033 0.473
Rb 0.024 0.976 0.976



(7)
First-principles (GGA-PBE) data for crystalline Cu5Pd4Au at its relaxed geometry, as listed in Alexandria via LeMat-Bulk.

## Properties
- Distance to the lowest polymorph of the same formula: 0 meV/atom
- E_form: -0.115 eV/atom

Cell: 3.055 3.053 15.001 Å, 90.00 90.00 90.00°
Positions (direct):
Pd 0.000 0.000 0.796
Pd 0.000 0.000 0.204
Pd 0.000 0.000 0.599
Pd 0.000 0.000 0.401
Au 0.000 0.000 0.000
Cu 0.500 0.500 0.894
Cu 0.500 0.500 0.500
Cu 0.500 0.500 0.697
Cu 0.500 0.500 0.106
Cu 0.500 0.500 0.303



(8)
First-principles (GGA-PBE) data for crystalline As2IrSeBr at its relaxed geometry, as listed in Alexandria via LeMat-Bulk.

## Properties
- Raw formation energy: 1.810 eV per atom
- Distance to the lowest polymorph of the same formula: 1272 meV/atom

Cell: 4.929 4.929 4.977 Å, 90.00 90.00 90.00°
Positions (direct):
Ir 0.500 0.500 0.500
As 0.500 0.000 0.000
As 0.000 0.500 0.000
Se 0.000 0.000 0.500
Br 0.000 0.000 0.000



(9)
First-principles (GGA-PBE) data for crystalline HoPuNp2Se4 at its relaxed geometry, as listed in Alexandria via LeMat-Bulk.

## Properties
- Raw formation energy: -1.337 eV per atom

Cell: 4.069 7.146 7.069 Å, 109.17 90.00 90.00°
Site moments in Bohr magnetons follow the coordinates.
Positions (direct):
Se 0.500 0.753 0.754  -0.03
Se 0.000 0.752 0.249  -0.01
Se 0.500 0.247 0.246  -0.03
Se 0.000 0.248 0.751  -0.01
Np 0.500 0.000 0.500  -3.93
Np 0.000 0.500 0.500  4.04
Pu 0.500 0.500 0.000  5.34
Ho 0.000 0.000 0.000  -0.04



(10)
First-principles (GGA-PBE) data for crystalline Sm4As2PCl at its relaxed geometry, as listed in Alexandria via LeMat-Bulk.

## Properties
- Raw formation energy: -1.573 eV per atom

Cell: 4.160 7.155 7.237 Å, 70.64 90.00 90.00°
Positions (direct):
Sm 0.500 0.749 0.262
Sm 0.000 0.240 0.267
Sm 0.000 0.760 0.733
Sm 0.500 0.251 0.738
P 0.000 0.500 0.500
Cl 0.500 0.500 0.000
As 0.000 0.000 0.000
As 0.500 0.000 0.500



(11)
First-principles (GGA-PBE) data for crystalline AcTmNbN3 at its relaxed geometry, as listed in Alexandria via LeMat-Bulk.

## Properties
- Raw formation energy: -1.060 eV per atom

Cell: 3.498 7.556 8.296 Å, 97.19 90.00 90.00°
Positions (direct):
N 0.750 0.412 0.129
N 0.250 0.830 0.537
N 0.750 0.855 0.166
N 0.250 0.145 0.834
N 0.750 0.170 0.463
N 0.250 0.588 0.871
Ac 0.250 0.172 0.184
Ac 0.750 0.828 0.816
Nb 0.250 0.119 0.587
Nb 0.750 0.881 0.413
Tm 0.750 0.373 0.864
Tm 0.250 0.627 0.136



(12)
First-principles (GGA-PBE) data for crystalline AcAl2Zn at its relaxed geometry, as listed in Alexandria via LeMat-Bulk.

## Properties
- E_form: -0.263 eV/atom

Cell: 4.708 6.026 7.184 Å, 90.00 90.00 112.99°
Positions (direct):
Al 0.388 0.776 0.935
Al 0.612 0.224 0.065
Al 0.612 0.224 0.435
Al 0.388 0.776 0.565
Zn 0.190 0.380 0.250
Zn 0.810 0.620 0.750
Ac 0.894 0.788 0.250
Ac 0.106 0.212 0.750